Below is Ac2Pr2N3 after structural relaxation, with properties calculated at the PBE level.

```
data_Ac2Pr2N3
_symmetry_space_group_name_H-M 'C 1 2/m 1'
_symmetry_Int_Tables_number 12
_cell_length_a 12.5307
_cell_length_b 3.7593
_cell_length_c 6.7715
_cell_angle_alpha 90.00
_cell_angle_beta 99.52
_cell_angle_gamma 90.00
loop_
_symmetry_equiv_pos_as_xyz
'x,y,z'
'-x,-y,-z'
'-x,y,-z'
'x,-y,z'
'x+1/2,y+1/2,z'
'-x+1/2,-y+1/2,-z'
'-x+1/2,y+1/2,-z'
'x+1/2,-y+1/2,z'
loop_
_atom_site_label
_atom_site_type_symbol
_atom_site_fract_x
_atom_site_fract_y
_atom_site_fract_z
Ac1 Ac 0.1313 0.0000 0.3570
Pr1 Pr 0.1278 0.5000 0.8949
N1 N 0.0000 0.0000 0.0000
N2 N 0.2421 0.5000 0.2310
```

E_form (uncorrected) (kJ/mol of atoms): -95.19
Uncorrected energy (eV/atom): -7.094
Magnetization (Bohr magnetons per cell): 1.44



Below is AcPr2PtN4 after structural relaxation, with properties calculated at the PBE level.

```
data_AcPr2PtN4
_symmetry_space_group_name_H-M 'C m c m'
_symmetry_Int_Tables_number 63
_symmetry_space_group_name_Hall '-C 2c 2'
_cell_length_a 3.6185
_cell_length_b 12.4433
_cell_length_c 12.1432
_cell_angle_alpha 90.00
_cell_angle_beta 90.00
_cell_angle_gamma 90.00
loop_
_atom_site_label
_atom_site_type_symbol
_atom_site_fract_x
_atom_site_fract_y
_atom_site_fract_z
Ac1 Ac 0.0000 0.1066 0.2500
Pr1 Pr 0.0000 0.3704 0.0472
Pt1 Pt 0.0000 0.1556 0.7500
N1 N 0.0000 0.0000 0.0000
N2 N 0.0000 0.2755 0.6293
N3 N 0.0000 0.4435 0.2500
```

E_form (uncorrected) (kJ/mol of atoms): -66.10
Uncorrected energy (eV/atom): -7.311
Magnetization (Bohr magnetons per cell): 0.00



Below is Ac4Pr3PuN8 after structural relaxation, with properties calculated at the PBE level.

```
data_Ac4Pr3PuN8
_symmetry_space_group_name_H-M 'R -3 m'
_symmetry_Int_Tables_number 166
_symmetry_space_group_name_Hall '-R 3 2"'
_cell_length_a 7.5117
_cell_length_b 7.5117
_cell_length_c 18.5671
_cell_angle_alpha 90.00
_cell_angle_beta 90.00
_cell_angle_gamma 120.00
loop_
_atom_site_label
_atom_site_type_symbol
_atom_site_fract_x
_atom_site_fract_y
_atom_site_fract_z
Ac1 Ac 0.0000 0.0000 0.0000
Ac2 Ac 0.0000 0.5000 0.0000
Pr1 Pr 0.0000 0.5000 0.5000
Pu1 Pu 0.0000 0.0000 0.5000
N1 N 0.0000 0.0000 0.2463
N2 N 0.0158 0.5079 0.2420
```

E_form (uncorrected) (kJ/mol of atoms): -108.48
Uncorrected energy (eV/atom): -8.106
Magnetization (Bohr magnetons per cell): 13.62



Below is Ac2PrPuN4 after structural relaxation, with properties calculated at the PBE level.

```
data_Ac2PrPuN4
_symmetry_space_group_name_H-M 'P 1 2/m 1'
_symmetry_Int_Tables_number 10
_cell_length_a 6.4162
_cell_length_b 3.7250
_cell_length_c 6.5017
_cell_angle_alpha 90.00
_cell_angle_beta 109.04
_cell_angle_gamma 90.00
loop_
_symmetry_equiv_pos_as_xyz
'x,y,z'
'-x,-y,-z'
'-x,y,-z'
'x,-y,z'
loop_
_atom_site_label
_atom_site_type_symbol
_atom_site_fract_x
_atom_site_fract_y
_atom_site_fract_z
Ac1 Ac 0.0000 0.0000 0.0000
Ac2 Ac 0.5000 0.5000 0.0000
Pr1 Pr 0.0000 0.5000 0.5000
Pu1 Pu 0.5000 0.0000 0.5000
N1 N 0.2623 0.0000 0.7213
N2 N 0.2742 0.5000 0.2829
```

E_form (uncorrected) (kJ/mol of atoms): -106.99
Uncorrected energy (eV/atom): -8.688
Magnetization (Bohr magnetons per cell): 4.54



Below is AcPrPuN3 after structural relaxation, with properties calculated at the PBE level.

```
data_AcPrPuN3
_symmetry_space_group_name_H-M 'P 1 21/m 1'
_symmetry_Int_Tables_number 11
_cell_length_a 7.8168
_cell_length_b 3.7891
_cell_length_c 8.3241
_cell_angle_alpha 90.00
_cell_angle_beta 98.46
_cell_angle_gamma 90.00
loop_
_symmetry_equiv_pos_as_xyz
'x,y,z'
'-x,-y,-z'
'-x,y+1/2,-z'
'x,-y+1/2,z'
loop_
_atom_site_label
_atom_site_type_symbol
_atom_site_fract_x
_atom_site_fract_y
_atom_site_fract_z
Ac1 Ac 0.1710 0.2500 0.1559
Pr1 Pr 0.3744 0.7500 0.8341
Pu1 Pu 0.0588 0.2500 0.5733
N1 N 0.1059 0.2500 0.8376
N2 N 0.2085 0.7500 0.5554
N3 N 0.3955 0.7500 0.1262
```

E_form (uncorrected) (kJ/mol of atoms): -81.16
Uncorrected energy (eV/atom): -8.874
Magnetization (Bohr magnetons per cell): 0.25



Below is Ac3Pr4PuN8 after structural relaxation, with properties calculated at the PBE level.

```
data_Ac3Pr4PuN8
_symmetry_space_group_name_H-M 'C 1 2/m 1'
_symmetry_Int_Tables_number 12
_cell_length_a 12.9831
_cell_length_b 7.4934
_cell_length_c 7.5013
_cell_angle_alpha 90.00
_cell_angle_beta 125.25
_cell_angle_gamma 90.00
loop_
_symmetry_equiv_pos_as_xyz
'x,y,z'
'-x,-y,-z'
'-x,y,-z'
'x,-y,z'
'x+1/2,y+1/2,z'
'-x+1/2,-y+1/2,-z'
'-x+1/2,y+1/2,-z'
'x+1/2,-y+1/2,z'
loop_
_atom_site_label
_atom_site_type_symbol
_atom_site_fract_x
_atom_site_fract_y
_atom_site_fract_z
Ac1 Ac 0.0000 0.0000 0.0000
Ac2 Ac 0.2500 0.2500 0.0000
Pr1 Pr 0.0000 0.0000 0.5000
Pr2 Pr 0.0000 0.5000 0.5000
Pr3 Pr 0.2500 0.2500 0.5000
Pu1 Pu 0.0000 0.5000 0.0000
N1 N 0.0040 0.2643 0.2477
N2 N 0.2376 0.5000 0.2456
N3 N 0.2461 0.5000 0.7384
```

E_form (uncorrected) (kJ/mol of atoms): -109.88
Uncorrected energy (eV/atom): -8.162
Magnetization (Bohr magnetons per cell): 9.44



Below is Ac2PrPuN5 after structural relaxation, with properties calculated at the PBE level.

```
data_Ac2PrPuN5
_symmetry_space_group_name_H-M 'C m c 21'
_symmetry_Int_Tables_number 36
_cell_length_a 3.7731
_cell_length_b 14.9056
_cell_length_c 11.4463
_cell_angle_alpha 90.00
_cell_angle_beta 90.00
_cell_angle_gamma 90.00
loop_
_symmetry_equiv_pos_as_xyz
'x,y,z'
'-x,-y,z+1/2'
'-x,y,z'
'x,-y,z+1/2'
'x+1/2,y+1/2,z'
'-x+1/2,-y+1/2,z+1/2'
'-x+1/2,y+1/2,z'
'x+1/2,-y+1/2,z+1/2'
loop_
_atom_site_label
_atom_site_type_symbol
_atom_site_fract_x
_atom_site_fract_y
_atom_site_fract_z
Ac1 Ac 0.0000 0.1028 0.0000
Ac2 Ac 0.0000 0.1357 0.5708
Pr1 Pr 0.0000 0.2288 0.3070
Pu1 Pu 0.0000 0.4712 0.7704
N1 N 0.0000 0.0604 0.3622
N2 N 0.0000 0.2704 0.9681
N3 N 0.0000 0.3438 0.7007
N4 N 0.0000 0.3979 0.3280
N5 N 0.0000 0.4856 0.0939
```

E_form (uncorrected) (kJ/mol of atoms): -96.01
Uncorrected energy (eV/atom): -8.657
Magnetization (Bohr magnetons per cell): 8.00



Below is AcPrPuN4 after structural relaxation, with properties calculated at the PBE level.

```
data_AcPrPuN4
_symmetry_space_group_name_H-M 'I 4 m m'
_symmetry_Int_Tables_number 107
_symmetry_space_group_name_Hall 'I 4 -2'
_cell_length_a 4.2083
_cell_length_b 4.2083
_cell_length_c 13.1162
_cell_angle_alpha 90.00
_cell_angle_beta 90.00
_cell_angle_gamma 90.00
loop_
_atom_site_label
_atom_site_type_symbol
_atom_site_fract_x
_atom_site_fract_y
_atom_site_fract_z
Ac1 Ac 0.0000 0.0000 0.0000
Pr1 Pr 0.0000 0.0000 0.7057
Pu1 Pu 0.0000 0.0000 0.3496
N1 N 0.0000 0.0000 0.1869
N2 N 0.0000 0.0000 0.5208
N3 N 0.0000 0.5000 0.3456
```

E_form (uncorrected) (kJ/mol of atoms): -105.32
Uncorrected energy (eV/atom): -9.166
Magnetization (Bohr magnetons per cell): 4.00



Below is Ac2Pr3PuN6 after structural relaxation, with properties calculated at the PBE level.

```
data_Ac2Pr3PuN6
_symmetry_space_group_name_H-M 'C 1 2/m 1'
_symmetry_Int_Tables_number 12
_cell_length_a 6.4571
_cell_length_b 11.2426
_cell_length_c 6.4210
_cell_angle_alpha 90.00
_cell_angle_beta 109.60
_cell_angle_gamma 90.00
loop_
_symmetry_equiv_pos_as_xyz
'x,y,z'
'-x,-y,-z'
'-x,y,-z'
'x,-y,z'
'x+1/2,y+1/2,z'
'-x+1/2,-y+1/2,-z'
'-x+1/2,y+1/2,-z'
'x+1/2,-y+1/2,z'
loop_
_atom_site_label
_atom_site_type_symbol
_atom_site_fract_x
_atom_site_fract_y
_atom_site_fract_z
Ac1 Ac 0.0000 0.1665 0.0000
Pr1 Pr 0.0000 0.0000 0.5000
Pr2 Pr 0.0000 0.3416 0.5000
Pu1 Pu 0.0000 0.5000 0.0000
N1 N 0.2242 0.3536 0.2348
N2 N 0.2281 0.5000 0.7444
```

E_form (uncorrected) (kJ/mol of atoms): -112.86
Uncorrected energy (eV/atom): -8.406
Magnetization (Bohr magnetons per cell): 8.62



Below is AcPr2ReN5 after structural relaxation, with properties calculated at the PBE level.

```
data_AcPr2ReN5
_symmetry_space_group_name_H-M 'I 4/m c m'
_symmetry_Int_Tables_number 140
_symmetry_space_group_name_Hall '-I 4 2c'
_cell_length_a 6.9884
_cell_length_b 6.9884
_cell_length_c 11.6604
_cell_angle_alpha 90.00
_cell_angle_beta 90.00
_cell_angle_gamma 90.00
loop_
_atom_site_label
_atom_site_type_symbol
_atom_site_fract_x
_atom_site_fract_y
_atom_site_fract_z
Ac1 Ac 0.0000 0.0000 0.2500
Pr1 Pr 0.1752 0.3248 0.0000
Re1 Re 0.0000 0.5000 0.2500
N1 N 0.0000 0.0000 0.0000
N2 N 0.1451 0.3549 0.3504
```

E_form (uncorrected) (kJ/mol of atoms): -99.15
Uncorrected energy (eV/atom): -8.555
Magnetization (Bohr magnetons per cell): 0.00



Below is Ac4PrRe3N12 after structural relaxation, with properties calculated at the PBE level.

```
data_Ac4PrRe3N12
_symmetry_space_group_name_H-M 'I m -3 m'
_symmetry_Int_Tables_number 229
_symmetry_space_group_name_Hall '-I 4 2 3'
_cell_length_a 8.3416
_cell_length_b 8.3416
_cell_length_c 8.3416
_cell_angle_alpha 90.00
_cell_angle_beta 90.00
_cell_angle_gamma 90.00
loop_
_atom_site_label
_atom_site_type_symbol
_atom_site_fract_x
_atom_site_fract_y
_atom_site_fract_z
Ac1 Ac 0.2500 0.2500 0.2500
Pr1 Pr 0.0000 0.0000 0.0000
Re1 Re 0.0000 0.0000 0.5000
N1 N 0.0000 0.0000 0.2741
N2 N 0.0000 0.2500 0.5000
```

E_form (uncorrected) (kJ/mol of atoms): -48.84
Uncorrected energy (eV/atom): -8.429
Magnetization (Bohr magnetons per cell): 0.00



Below is Ac2Pr4Sb3N2 after structural relaxation, with properties calculated at the PBE level.

```
data_Ac2Pr4Sb3N2
_symmetry_space_group_name_H-M 'I 4/m m m'
_symmetry_Int_Tables_number 139
_symmetry_space_group_name_Hall '-I 4 2'
_cell_length_a 4.9232
_cell_length_b 4.9232
_cell_length_c 26.8806
_cell_angle_alpha 90.00
_cell_angle_beta 90.00
_cell_angle_gamma 90.00
loop_
_atom_site_label
_atom_site_type_symbol
_atom_site_fract_x
_atom_site_fract_y
_atom_site_fract_z
Ac1 Ac 0.0000 0.0000 0.1919
Pr1 Pr 0.0000 0.5000 0.0802
Sb1 Sb 0.0000 0.0000 0.3262
Sb2 Sb 0.0000 0.0000 0.5000
N1 N 0.0000 0.0000 0.1013
```

E_form (uncorrected) (kJ/mol of atoms): -109.76
Uncorrected energy (eV/atom): -6.261
Magnetization (Bohr magnetons per cell): 0.00